## Tb2SiGe (PBE-GGA)

Data for a relaxed structure of Tb2SiGe.

Cell lengths 7.151, 7.151, 7.151 Å; angles 33.80, 33.80, 33.80 degrees
Positions (direct):
Tb1 0.248 0.248 0.248
Tb2 0.752 0.752 0.752
Si1 0.500 0.500 0.500
Ge1 0.000 0.000 0.000

E_tot: -5.3891 eV per atom
formation energy (no corrections): -0.56 eV/atom